[1]
The following is a DFT calculation (PBE) of an optimized crystal structure of TePt2N2.

a b c (Å): 3.705 3.705 5.895
angles (deg): 71.69 71.69 90.00
Fractional positions:
Te 0.000 0.000 0.000
Pt 0.360 0.360 0.279
Pt 0.640 0.640 0.721
N 0.750 0.250 0.500
N 0.250 0.750 0.500

As for the space-group type: I4/mmm, No. 139. The relative energy among the computed polymorphs comes out at 544 meV per atom. The calculation puts the uncorrected formation energy at 1.061 eV per atom.


[2]
The following is a DFT calculation (PBE) of an optimized crystal structure of SnOsRuN.

a b c (Å): 2.941 3.939 5.517
angles (deg): 90.00 90.00 90.00
Fractional positions:
Sn 0.500 0.000 0.215
Os 0.000 0.000 0.641
Ru 0.500 0.500 0.885
N 0.000 0.500 0.629

As for the space-group type: Pmm2, No. 25. The relative energy among the computed polymorphs comes out at 45 meV per atom. The calculation puts the uncorrected formation energy at 0.308 eV per atom.


Total energy / eV per atom: -5.314, -7.901